Record 1
Density functional theory data (SCAN) for a PBEsol-optimized structure of AlCoSb2Ir.

The structure in CIF format:
```
data_AlCoSb2Ir
_chemical_formula_sum 'Al1 Co1 Sb2 Ir1'
_cell_length_a 5.071
_cell_length_b 5.071
_cell_length_c 4.449
_cell_angle_alpha 90.00
_cell_angle_beta 90.00
_cell_angle_gamma 90.00
_space_group_name_H-M_alt 'P 4/m m m'
_space_group_IT_number 123
_space_group_name_Hall '-P 4 2'
loop_
_atom_site_label
_atom_site_type_symbol
_atom_site_fract_x
_atom_site_fract_y
_atom_site_fract_z
Al1 Al 0.000 0.000 0.000
Co1 Co 0.500 0.500 0.500
Sb1 Sb 0.000 0.500 0.000
Ir1 Ir 0.000 0.000 0.500
```

formation energy (no corrections)	1.12	eV/atom
calculated volume	114.4	Å³/cell
calculated density	7.57	Mg/m³



Record 2
Density functional theory data (SCAN) for a PBEsol-optimized structure of Al3BiSb.

The structure in CIF format:
```
data_Al3BiSb
_chemical_formula_sum 'Al3 Bi1 Sb1'
_cell_length_a 5.231
_cell_length_b 5.231
_cell_length_c 5.231
_cell_angle_alpha 90.00
_cell_angle_beta 90.00
_cell_angle_gamma 90.00
_space_group_name_H-M_alt 'P m -3 m'
_space_group_IT_number 221
_space_group_name_Hall '-P 4 2 3'
loop_
_atom_site_label
_atom_site_type_symbol
_atom_site_fract_x
_atom_site_fract_y
_atom_site_fract_z
Al1 Al 0.000 0.000 0.500
Bi1 Bi 0.500 0.500 0.500
Sb1 Sb 0.000 0.000 0.000
```

formation energy (no corrections)	0.76	eV/atom
calculated volume	143.2	Å³/cell
calculated density	4.78	Mg/m³



Record 3
Density functional theory data (SCAN) for a PBEsol-optimized structure of TaCoW2.

The structure in CIF format:
```
data_TaCoW2
_chemical_formula_sum 'Ta2 Co2 W4'
_cell_length_a 9.251
_cell_length_b 2.723
_cell_length_c 4.857
_cell_angle_alpha 90.00
_cell_angle_beta 102.43
_cell_angle_gamma 90.00
_space_group_name_H-M_alt 'C 1 m 1'
_space_group_IT_number 8
_space_group_name_Hall 'C -2y'
loop_
_atom_site_label
_atom_site_type_symbol
_atom_site_fract_x
_atom_site_fract_y
_atom_site_fract_z
Ta1 Ta 0.000 0.000 0.000
Co1 Co 0.235 0.500 0.207
W1 W 0.224 0.000 0.708
W2 W 0.456 0.000 0.466
```

energy of formation from the pure elements	1.40	eV per formula unit
energy relative to the lowest polymorph listed for this composition	367	meV per atom
calculated volume	119.5	Å³/cell
calculated density	16.89	Mg/m³



Record 4
Density functional theory data (SCAN) for a PBEsol-optimized structure of KCu.

The structure in CIF format:
```
data_KCu
_chemical_formula_sum 'K2 Cu2'
_cell_length_a 3.434
_cell_length_b 3.434
_cell_length_c 9.552
_cell_angle_alpha 90.00
_cell_angle_beta 90.00
_cell_angle_gamma 90.00
_space_group_name_H-M_alt 'P 4/n m m'
_space_group_IT_number 129
loop_
_space_group_symop_operation_xyz
'x,y,z'
'-x,-y,-z'
'-y+1/2,x,z'
'y+1/2,-x,-z'
'-x+1/2,-y+1/2,z'
'x+1/2,y+1/2,-z'
'y,-x+1/2,z'
'-y,x+1/2,-z'
'x+1/2,-y,-z'
'-x+1/2,y,z'
'-y,-x,-z'
'y,x,z'
'-x,y+1/2,-z'
'x,-y+1/2,z'
'y+1/2,x+1/2,-z'
'-y+1/2,-x+1/2,z'
loop_
_atom_site_label
_atom_site_type_symbol
_atom_site_fract_x
_atom_site_fract_y
_atom_site_fract_z
K1 K 0.250 0.250 0.213
Cu1 Cu 0.250 0.250 0.521
```

energy of formation from the pure elements	0.78	eV per formula unit
energy relative to the lowest polymorph listed for this composition	8	meV per atom
calculated volume	112.7	Å³/cell
calculated density	3.03	Mg/m³



| no. | DOS at the Fermi energy (states/eV/cell) |
| --- | --- |
| 1 | 2.780 |
| 2 | 2.480 |
| 3 | 7.454 |
| 4 | 1.701 |